# 1
Pr8N5: relaxed, PBE.

Unit cell a=7.2916 b=7.2916 c=7.2895 alpha=104.08 beta=104.78 gamma=120.11
Closest atoms and distances in Å follow each position.
Element x y z (fractional)
Pr  0.2977  0.9789  0.2766  4 N 2.51-2.66
Pr  0.7088  0.5497  0.7356  4 N 2.55-2.63
Pr  0.7023  0.0211  0.7234  4 N 2.51-2.66
Pr  0.8141  0.9733  0.2644  4 N 2.55-2.63
Pr  0.1921  0.5237  0.7158  3 N 2.48-2.52
Pr  0.8079  0.4763  0.2842  3 N 2.48-2.52
Pr  0.1859  0.0267  0.7356  4 N 2.55-2.63
Pr  0.2912  0.4503  0.2644  4 N 2.55-2.63
N  0.7420  0.7446  0.4866  6 Pr 2.48-2.56
N  0.2527  0.7527  0.5000  6 Pr 2.52-2.63
N  0.2580  0.2554  0.5134  6 Pr 2.48-2.56
N  0.7473  0.2473  0.5000  6 Pr 2.52-2.63
N  0.0000  0.0000  0.0000  6 Pr 2.62-2.66

Symmetry: No. 12
E_form (uncorrected): -0.94 eV per atom
Total DFT energy (no corrections): -7.0861 eV/atom

---

# 2
NaGd2Hg: relaxed, PBE.

Unit cell a=3.7394 b=3.7394 c=8.6967 alpha=90.00 beta=90.00 gamma=90.00
Closest atoms and distances in Å follow each position.
Element x y z (fractional)
Gd  0.0000  0.0000  0.7922  4 Hg 3.20
Gd  0.0000  0.0000  0.2078  4 Hg 3.20
Hg  0.5000  0.5000  0.0000  8 Gd 3.20
Na  0.5000  0.5000  0.5000  8 Gd 3.67, 4 Na 3.74

Symmetry: No. 123
Formation energy: -0.10 eV/atom
Total DFT energy (no corrections): -7.5486 eV/atom

---

# 3
LiTeAuN2: relaxed, PBE.

Unit cell a=4.1153 b=4.1153 c=6.0606 alpha=90.00 beta=90.00 gamma=90.00
Closest atoms and distances in Å follow each position.
Element x y z (fractional)
N  0.0000  0.5000  0.0000  2 Au 2.06
N  0.5000  0.0000  0.0000  2 Au 2.06
Te  0.0000  0.0000  0.5000  4 Li 2.91, 2 Au 3.03
Au  0.0000  0.0000  0.0000  4 N 2.06
Li  0.5000  0.5000  0.5000  4 Te 2.91

Symmetry: No. 123
E_form (uncorrected): 1.32 eV per atom
Total DFT energy (no corrections): -3.6748 eV/atom

---

# 4
Ba2ErInAu6: relaxed, PBE.

Unit cell a=7.7020 b=7.7019 c=7.7020 alpha=60.00 beta=60.00 gamma=90.00
Closest atoms and distances in Å follow each position.
Element x y z (fractional)
Au  0.2477  0.2477  0.5047  1 In 2.70, 1 Er 2.75
Au  0.7523  0.7523  0.0000  1 In 2.70, 1 Er 2.75
Au  0.7523  0.2477  0.0000  1 In 2.70, 1 Er 2.75
Au  0.2477  0.7523  0.0000  1 In 2.70, 1 Er 2.75
Au  0.7523  0.7523  0.4953  1 In 2.70, 1 Er 2.75
Au  0.2477  0.2477  0.0000  1 In 2.70, 1 Er 2.75
Er  0.5000  0.5000  0.0000  6 Au 2.75
Ba  0.7500  0.2500  0.5000  12 Au 3.85
Ba  0.2500  0.7500  0.5000  12 Au 3.85
In  0.0000  0.0000  0.0000  6 Au 2.70

Symmetry: No. 225
Formation energy: -0.38 eV/atom
Total DFT energy (no corrections): -3.4573 eV/atom

---

# 5
SbWS2N: relaxed, PBE.

Unit cell a=4.8854 b=4.8854 c=3.8162 alpha=90.00 beta=90.00 gamma=90.00
Closest atoms and distances in Å follow each position.
Element x y z (fractional)
N  0.0000  0.0000  0.5000  2 W 1.91
S  0.0000  0.5000  0.0000  2 W 2.44
S  0.5000  0.0000  0.0000  2 W 2.44
Sb  0.5000  0.5000  0.5000  8 S 3.10, 4 N 3.45
W  0.0000  0.0000  0.0000  2 N 1.91

Symmetry: No. 123
E_form (uncorrected): 0.15 eV per atom
Total DFT energy (no corrections): -6.5768 eV/atom

---

# 6
Mo2Pt3Rh: relaxed, PBE.

Unit cell a=3.9180 b=3.9180 c=12.7101 alpha=98.81 beta=98.81 gamma=90.36
Closest atoms and distances in Å follow each position.
Element x y z (fractional)
Pt  0.8274  0.8274  0.1553  4 Mo 2.74-2.76, 5 Pt 2.76-2.78, 1 Rh 2.78
Pt  0.8263  0.8263  0.6526  4 Mo 2.72, 2 Pt 2.76, 4 Rh 2.76-2.78
Pt  0.1737  0.1737  0.3474  4 Mo 2.72, 2 Pt 2.76, 4 Rh 2.76-2.78
Pt  0.1726  0.1726  0.8447  4 Mo 2.74-2.76, 5 Pt 2.76-2.78, 1 Rh 2.78
Pt  0.6720  0.6720  0.8447  4 Mo 2.74-2.76, 5 Pt 2.76-2.78, 1 Rh 2.78
Pt  0.3280  0.3280  0.1553  4 Mo 2.74-2.76, 5 Pt 2.76-2.78, 1 Rh 2.78
Rh  0.6749  0.6749  0.3498  4 Mo 2.70, 6 Pt 2.76-2.78
Rh  0.3251  0.3251  0.6502  4 Mo 2.70, 6 Pt 2.76-2.78
Mo  0.7458  0.2542  0.0000  4 Mo 2.73-2.83, 8 Pt 2.74-2.76
Mo  0.2542  0.7458  0.0000  4 Mo 2.73-2.83, 8 Pt 2.74-2.76
Mo  0.7500  0.2500  0.5000  4 Rh 2.70, 4 Pt 2.72, 4 Mo 2.76-2.78
Mo  0.2500  0.7500  0.5000  4 Rh 2.70, 4 Pt 2.72, 4 Mo 2.76-2.78

Symmetry: No. 69
Formation energy: -0.22 eV/atom
Total DFT energy (no corrections): -8.0788 eV/atom

---

Q: total DFT energy (no corrections) of number 4 (Ba2ErInAu6)?
A: -3.4573 eV/atom